Record 1
Computed, not measured: a relaxed structure of Er3Tm3Th2 at the GGA-PBE level of DFT.

## Properties
**Total moment**: 0.00 μB/f.u.
**Energy relative to the elements**: 21 meV/atom
**Theoretical density**: 9.9 g/cm3

Cell lengths 4.986, 4.986, 10.587 Å; angles 103.64, 103.62, 90.00 degrees
Fractional coordinates of all 8 atoms:
1 Er 0.626 0.626 0.253
2 Er 0.374 0.374 0.747
3 Er 0.500 0.000 0.000
4 Tm 0.126 0.126 0.252
5 Tm 0.000 0.500 0.000
6 Tm 0.874 0.874 0.748
7 Th 0.750 0.250 0.500
8 Th 0.250 0.750 0.500

---

Record 2
Computed, not measured: a relaxed structure of Er3Tm5Th3 at the GGA-PBE level of DFT.

## Properties
**Total moment**: 0.00 μB/f.u.
**Energy relative to the elements**: 392 meV/atom
**Theoretical density**: 9.4 g/cm3

Cell lengths 3.386, 11.103, 11.103 Å; angles 120.00, 90.00, 90.00 degrees
Fractional coordinates of all 11 atoms:
1 Er 0.000 0.408 0.408
2 Er 0.000 0.592 0.000
3 Er 0.000 0.000 0.592
4 Tm 0.500 0.333 0.667
5 Tm 0.500 0.667 0.333
6 Tm 0.500 0.160 0.160
7 Tm 0.500 0.000 0.840
8 Tm 0.500 0.840 0.000
9 Th 0.500 0.662 0.662
10 Th 0.500 0.000 0.338
11 Th 0.500 0.338 0.000

---

Record 3
Computed, not measured: a relaxed structure of Er6Tm8Th at the GGA-PBE level of DFT.

## Properties
**Total moment**: 0.00 μB/f.u.
**Energy relative to the elements**: 130 meV/atom
**Theoretical density**: 9.2 g/cm3

Cell lengths 8.507, 8.507, 8.507 Å; angles 63.12, 63.12, 63.12 degrees
Fractional coordinates of all 15 atoms:
1 Er 0.894 0.463 0.770
2 Er 0.230 0.106 0.537
3 Er 0.537 0.230 0.106
4 Er 0.463 0.770 0.894
5 Er 0.770 0.894 0.463
6 Er 0.106 0.537 0.230
7 Tm 0.112 0.719 0.750
8 Tm 0.250 0.888 0.281
9 Tm 0.281 0.250 0.888
10 Tm 0.577 0.577 0.577
11 Tm 0.423 0.423 0.423
12 Tm 0.719 0.750 0.112
13 Tm 0.750 0.112 0.719
14 Tm 0.888 0.281 0.250
15 Th 0.000 0.000 0.000

---

Record 4
Computed, not measured: a relaxed structure of ErTm8Th6 at the GGA-PBE level of DFT.

## Properties
**Total moment**: 0.00 μB/f.u.
**Energy relative to the elements**: 271 meV/atom
**Theoretical density**: 9.9 g/cm3

Cell lengths 6.214, 9.535, 9.535 Å; angles 120.00, 90.00, 90.00 degrees
Fractional coordinates of all 15 atoms:
1 Er 0.500 0.000 0.000
2 Tm 0.917 0.982 0.311
3 Tm 0.917 0.689 0.672
4 Tm 0.917 0.328 0.018
5 Tm 0.083 0.018 0.689
6 Tm 0.083 0.311 0.328
7 Tm 0.083 0.672 0.982
8 Tm 0.894 0.333 0.667
9 Tm 0.106 0.667 0.333
10 Th 0.567 0.689 0.123
11 Th 0.567 0.877 0.566
12 Th 0.567 0.434 0.311
13 Th 0.433 0.311 0.877
14 Th 0.433 0.123 0.434
15 Th 0.433 0.566 0.689

---

Record 5
Computed, not measured: a relaxed structure of ErTm2Th6 at the GGA-PBE level of DFT.

## Properties
**Total moment**: 0.00 μB/f.u.
**Energy relative to the elements**: 125 meV/atom
**Theoretical density**: 11.0 g/cm3

Cell lengths 9.204, 8.753, 8.753 Å; angles 83.72, 64.42, 64.42 degrees
Fractional coordinates of all 18 atoms:
1 Er 0.250 0.128 0.872
2 Er 0.750 0.872 0.128
3 Tm 0.083 0.541 0.793
4 Tm 0.417 0.207 0.459
5 Tm 0.917 0.459 0.207
6 Tm 0.583 0.793 0.541
7 Th 0.523 0.437 0.685
8 Th 0.977 0.315 0.563
9 Th 0.477 0.563 0.315
10 Th 0.023 0.685 0.437
11 Th 0.856 0.104 0.352
12 Th 0.644 0.648 0.896
13 Th 0.144 0.896 0.648
14 Th 0.356 0.352 0.104
15 Th 0.190 0.771 0.017
16 Th 0.310 0.983 0.229
17 Th 0.810 0.229 0.983
18 Th 0.690 0.017 0.771

---

Record 6
Computed, not measured: a relaxed structure of Er8TmTh2 at the GGA-PBE level of DFT.

## Properties
**Total moment**: 0.00 μB/f.u.
**Energy relative to the elements**: 203 meV/atom
**Theoretical density**: 9.4 g/cm3

Cell lengths 5.898, 8.924, 9.097 Å; angles 60.63, 74.39, 56.72 degrees
Fractional coordinates of all 11 atoms:
1 Er 0.826 0.100 0.233
2 Er 0.826 0.333 0.767
3 Er 0.296 0.425 0.000
4 Er 0.500 0.791 0.418
5 Er 0.500 0.209 0.582
6 Er 0.704 0.575 0.000
7 Er 0.174 0.667 0.233
8 Er 0.174 0.900 0.767
9 Tm 0.500 0.000 0.000
10 Th 0.000 0.306 0.388
11 Th 0.000 0.694 0.612

---

Record 7
Computed, not measured: a relaxed structure of Er3Tm2Th2 at the GGA-PBE level of DFT.

## Properties
**Total moment**: 0.00 μB/f.u.
**Energy relative to the elements**: 24 meV/atom
**Theoretical density**: 10.0 g/cm3

Cell lengths 3.544, 9.346, 7.838 Å; angles 65.12, 76.93, 100.86 degrees
Fractional coordinates of all 7 atoms:
1 Er 0.000 0.000 0.000
2 Er 0.707 0.568 0.153
3 Er 0.293 0.432 0.847
4 Tm 0.424 0.140 0.291
5 Tm 0.576 0.860 0.709
6 Th 0.859 0.287 0.571
7 Th 0.141 0.713 0.429

---

Record 8
Computed, not measured: a relaxed structure of Y3ErTmTh at the GGA-PBE level of DFT.

## Properties
**Total moment**: 0.00 μB/f.u.
**Energy relative to the elements**: 26 meV/atom
**Theoretical density**: 7.3 g/cm3

Cell lengths 3.563, 10.639, 10.631 Å; angles 109.30, 90.00, 90.00 degrees
Fractional coordinates of all 12 atoms:
1 Y 0.750 0.874 0.043
2 Y 0.250 0.126 0.957
3 Y 0.250 0.629 0.458
4 Y 0.750 0.371 0.542
5 Y 0.750 0.375 0.208
6 Y 0.250 0.625 0.792
7 Er 0.250 0.121 0.294
8 Er 0.750 0.879 0.706
9 Tm 0.250 0.626 0.125
10 Tm 0.750 0.374 0.875
11 Th 0.250 0.124 0.624
12 Th 0.750 0.876 0.376

---

Record 9
Computed, not measured: a relaxed structure of YEr6Tm3Th2 at the GGA-PBE level of DFT.

## Properties
**Total moment**: 0.00 μB/f.u.
**Energy relative to the elements**: 29 meV/atom
**Theoretical density**: 9.2 g/cm3

Cell lengths 6.107, 6.107, 11.656 Å; angles 95.02, 95.02, 119.94 degrees
Fractional coordinates of all 12 atoms:
1 Y 0.000 0.000 0.000
2 Er 0.916 0.579 0.750
3 Er 0.747 0.747 0.250
4 Er 0.084 0.421 0.250
5 Er 0.579 0.916 0.750
6 Er 0.253 0.253 0.750
7 Er 0.421 0.084 0.250
8 Tm 0.166 0.834 0.500
9 Tm 0.834 0.166 0.500
10 Tm 0.500 0.500 0.500
11 Th 0.333 0.667 0.000
12 Th 0.667 0.333 0.000

---

Record 10
Computed, not measured: a relaxed structure of YErTm3Th at the GGA-PBE level of DFT.

## Properties
**Total moment**: 0.00 μB/f.u.
**Energy relative to the elements**: 25 meV/atom
**Theoretical density**: 8.9 g/cm3

Cell lengths 3.536, 10.545, 10.544 Å; angles 109.21, 90.00, 90.00 degrees
Fractional coordinates of all 12 atoms:
1 Y 0.250 0.125 0.291
2 Y 0.750 0.875 0.709
3 Er 0.250 0.127 0.625
4 Er 0.750 0.873 0.375
5 Tm 0.750 0.873 0.041
6 Tm 0.250 0.127 0.959
7 Tm 0.250 0.624 0.458
8 Tm 0.750 0.376 0.542
9 Tm 0.750 0.379 0.207
10 Tm 0.250 0.621 0.793
11 Th 0.250 0.626 0.124
12 Th 0.750 0.374 0.876

---

Record 11
Computed, not measured: a relaxed structure of YErTmTh2 at the GGA-PBE level of DFT.

## Properties
**Total moment**: 0.00 μB/f.u.
**Energy relative to the elements**: 402 meV/atom
**Theoretical density**: 8.7 g/cm3

Cell lengths 6.630, 6.629, 8.422 Å; angles 113.17, 90.00, 90.00 degrees
Fractional coordinates of all 10 atoms:
1 Y 0.750 0.750 0.499
2 Y 0.250 0.250 0.501
3 Er 0.250 0.652 0.304
4 Er 0.750 0.348 0.696
5 Tm 0.250 0.849 0.697
6 Tm 0.750 0.151 0.303
7 Th 0.500 0.250 0.000
8 Th 0.000 0.750 0.000
9 Th 0.500 0.750 0.000
10 Th 0.000 0.250 0.000

---

Record 12
Computed, not measured: a relaxed structure of YErTm2Th at the GGA-PBE level of DFT.

## Properties
**Total moment**: 0.00 μB/f.u.
**Energy relative to the elements**: 332 meV/atom
**Theoretical density**: 8.3 g/cm3

Cell lengths 6.352, 8.353, 6.270 Å; angles 96.62, 90.00, 90.00 degrees
Fractional coordinates of all 10 atoms:
1 Y 0.186 0.500 0.750
2 Y 0.814 0.500 0.250
3 Er 0.000 0.000 0.000
4 Er 0.000 0.000 0.500
5 Tm 0.701 0.689 0.784
6 Tm 0.701 0.311 0.716
7 Tm 0.299 0.689 0.284
8 Tm 0.299 0.311 0.216
9 Th 0.557 0.000 0.250
10 Th 0.443 0.000 0.750